Density functional theory data (PBE) for crystalline Ac2PmTe at its relaxed geometry.

Structure (POSCAR):
```
Ac2PmTe
1.0
4.093 0.000 0.000
0.000 4.093 0.000
0.000 0.000 9.155
Ac Pm Te
2 1 1
Cartesian
0.000 0.000 2.022
0.000 0.000 7.133
2.046 2.046 4.577
2.046 2.046 0.000
```

V   153.3 Å³/cell
Crystal system   tetragonal
DOS(E_F)   3.963 states/eV/cell
Formation energy (no corrections)   -54.39 kJ/mol of atoms
ΔE to the lowest computed polymorph   0.0000 eV per atom
Uncorrected energy   -18.4 eV per formula unit
Space-group type   P4/mmm (123)


Density functional theory data (PBE) for crystalline Ac2Pm2Te5 at its relaxed geometry.

Structure (POSCAR):
```
Ac2Pm2Te5
1.0
8.635 -3.056 0.000
8.635 3.056 0.000
-2.337 0.000 6.109
Ac Pm Te
2 2 5
Cartesian
0.975 0.000 1.994
13.959 0.000 4.115
5.573 0.000 0.288
9.360 0.000 5.820
0.227 0.000 5.211
4.152 0.000 3.167
8.635 0.000 0.000
10.782 0.000 2.941
14.706 0.000 0.898
```

V   322.5 Å³/cell
Crystal system   monoclinic
DOS(E_F)   5.671 states/eV/cell
Formation energy (no corrections)   -130.79 kJ/mol of atoms
Uncorrected energy   -45.6 eV per formula unit
Space-group type   C2/m (12)


Density functional theory data (PBE) for crystalline Ac2PmTe3 at its relaxed geometry.

Structure (POSCAR):
```
Ac2PmTe3
1.0
7.332 -3.292 0.000
7.332 3.292 0.000
-2.950 0.000 8.822
Ac Pm Te
4 2 6
Cartesian
0.773 0.002 5.163
2.248 -0.002 0.752
9.466 0.002 8.070
10.941 -0.002 3.659
5.119 0.006 6.617
6.594 -0.006 2.206
6.594 3.286 2.206
2.308 0.002 8.128
3.783 -0.002 3.717
7.931 0.002 5.105
9.405 -0.002 0.694
5.119 -3.286 6.617
```

V   425.8 Å³/cell
Crystal system   monoclinic
DOS(E_F)   6.832 states/eV/cell
Formation energy (no corrections)   -139.82 kJ/mol of atoms
ΔE to the lowest computed polymorph   0.0077 eV per atom
Uncorrected energy   -31.1 eV per formula unit
Space-group type   C2/c (15)


Density functional theory data (PBE) for crystalline AcPmTe6 at its relaxed geometry.

Structure (POSCAR):
```
AcPmTe6
1.0
4.424 0.000 0.000
0.000 2.212 14.062
0.000 -2.212 14.062
Ac Pm Te
1 1 6
Cartesian
0.000 0.000 0.000
2.212 0.000 18.456
0.000 0.000 3.472
0.000 0.000 11.283
0.000 0.000 21.054
2.212 0.000 6.992
2.212 0.000 15.139
2.212 0.000 25.345
```

V   275.2 Å³/cell
Crystal system   orthorhombic
DOS(E_F)   1.625 states/eV/cell
Formation energy (no corrections)   -97.94 kJ/mol of atoms
Uncorrected energy   -35.8 eV per formula unit
Space-group type   Amm2 (38)


Density functional theory data (PBE) for crystalline AcPm3Te6 at its relaxed geometry.

Structure (POSCAR):
```
AcPm3Te6
1.0
12.804 0.000 0.000
0.000 4.550 0.000
-4.349 0.000 12.462
Ac Pm Te
2 6 12
Cartesian
-0.229 1.137 2.448
8.685 3.412 10.014
-0.545 1.137 7.289
-0.244 3.412 12.457
4.191 1.137 4.170
4.265 3.412 8.293
8.699 1.137 0.005
9.001 3.412 5.174
-0.651 3.412 5.057
-2.659 1.137 12.057
-0.739 3.412 9.354
2.393 3.412 2.822
2.577 1.137 6.929
5.708 1.137 1.448
2.748 3.412 11.015
5.879 3.412 5.533
6.063 1.137 9.641
9.194 1.137 3.108
11.115 3.412 0.406
9.107 1.137 7.405
```

V   726.0 Å³/cell
Crystal system   monoclinic
Formation energy (no corrections)   -142.74 kJ/mol of atoms
Uncorrected energy   -52.0 eV per formula unit
Space-group type   P2_1/m (11)


Density functional theory data (PBE) for crystalline AcPm3Te4 at its relaxed geometry.

Structure (POSCAR):
```
AcPm3Te4
1.0
4.592 -6.417 0.000
4.592 6.417 0.000
0.000 0.000 4.479
Ac Pm Te
1 3 4
Cartesian
0.000 0.000 0.000
2.296 3.209 2.239
2.296 -3.209 2.239
4.592 0.000 0.000
4.592 3.139 0.000
2.401 0.000 2.239
6.783 0.000 2.239
4.592 -3.139 0.000
```

V   264.0 Å³/cell
Crystal system   orthorhombic
DOS(E_F)   5.179 states/eV/cell
Formation energy (no corrections)   -136.68 kJ/mol of atoms
ΔE to the lowest computed polymorph   0.0025 eV per atom
Uncorrected energy   -42.3 eV per formula unit
Space-group type   Cmmm (65)


Density functional theory data (PBE) for crystalline Ac4PmTe7 at its relaxed geometry.

Structure (POSCAR):
```
Ac4PmTe7
1.0
7.731 -2.288 0.000
7.731 2.288 0.000
-3.557 0.000 13.232
Ac Pm Te
4 1 7
Cartesian
0.000 0.000 0.000
0.391 0.000 10.212
7.926 0.000 5.014
11.911 0.000 7.398
11.461 0.000 1.843
1.728 0.000 2.901
1.815 0.000 6.908
5.442 0.000 0.553
6.469 0.000 8.199
6.412 0.000 12.220
10.500 0.000 10.322
13.265 0.000 4.405
```

V   468.2 Å³/cell
Crystal system   monoclinic
DOS(E_F)   1.870 states/eV/cell
Formation energy (no corrections)   -148.76 kJ/mol of atoms
Uncorrected energy   -61.7 eV per formula unit
Space-group type   Cm (8)


Density functional theory data (PBE) for crystalline AcPm3Te4 at its relaxed geometry.

Structure (POSCAR):
```
AcPm3Te4
1.0
4.464 0.000 0.000
-2.232 3.866 0.000
0.000 0.000 30.570
Ac Pm Te
2 6 8
Cartesian
0.000 2.577 7.642
2.232 1.289 22.927
0.000 0.000 0.000
0.000 0.000 15.285
0.000 2.577 18.927
0.000 2.577 26.928
2.232 1.289 3.642
2.232 1.289 11.643
0.000 0.000 5.495
0.000 0.000 9.790
0.000 0.000 20.779
0.000 0.000 25.075
0.000 2.577 1.827
0.000 2.577 13.458
2.232 1.289 17.112
2.232 1.289 28.743
```

V   527.5 Å³/cell
Crystal system   hexagonal
DOS(E_F)   11.480 states/eV/cell
Formation energy (no corrections)   -136.92 kJ/mol of atoms
ΔE to the lowest computed polymorph   0.0000 eV per atom
Uncorrected energy   -42.3 eV per formula unit
Space-group type   P6_3/mmc (194)


Density functional theory data (PBE) for crystalline Ac2PmTe at its relaxed geometry.

Structure (POSCAR):
```
Ac2PmTe
1.0
5.472 0.000 0.000
0.000 5.472 0.000
0.000 0.000 4.671
Ac Pm Te
2 1 1
Cartesian
0.000 2.736 0.000
2.736 0.000 0.000
0.000 0.000 2.336
2.736 2.736 2.336
```

V   139.8 Å³/cell
Crystal system   tetragonal
DOS(E_F)   3.218 states/eV/cell
Formation energy (no corrections)   -45.28 kJ/mol of atoms
ΔE to the lowest computed polymorph   0.0945 eV per atom
Uncorrected energy   -18.0 eV per formula unit
Space-group type   P4/mmm (123)


Density functional theory data (PBE) for crystalline Ac2PmTe5 at its relaxed geometry.

Structure (POSCAR):
```
Ac2PmTe5
1.0
4.676 -6.566 0.000
4.676 6.566 0.000
-4.644 0.000 4.794
Ac Pm Te
2 1 5
Cartesian
4.676 3.525 0.000
4.676 -3.525 0.000
6.838 0.000 1.893
0.551 0.000 1.554
2.353 3.467 2.393
-0.197 0.000 4.708
2.353 -3.467 2.393
4.069 0.000 3.549
```

V   294.3 Å³/cell
Crystal system   monoclinic
DOS(E_F)   3.188 states/eV/cell
Formation energy (no corrections)   -124.57 kJ/mol of atoms
Uncorrected energy   -39.0 eV per formula unit
Space-group type   Cm (8)


Density functional theory data (PBE) for crystalline Ac3PmTe6 at its relaxed geometry.

Structure (POSCAR):
```
Ac3PmTe6
1.0
7.243 4.182 4.540
-7.243 4.182 4.540
0.000 -8.363 4.540
Ac Pm Te
6 2 12
Cartesian
-1.222 -3.554 4.706
-2.467 2.835 4.706
-3.689 -0.719 8.915
3.689 0.719 4.706
2.467 -2.835 8.915
1.222 3.554 8.915
0.000 0.000 0.000
0.000 0.000 6.810
-6.487 -1.597 7.505
-1.861 -6.417 6.116
-2.748 -0.453 5.339
-4.626 4.820 6.116
1.766 -2.153 5.339
-0.982 -2.606 8.282
0.982 2.606 5.339
-1.766 2.153 8.282
4.626 -4.820 7.505
2.748 0.453 8.282
1.861 6.417 7.505
6.487 1.597 6.116
```

V   825.0 Å³/cell
Crystal system   trigonal
Formation energy (no corrections)   -144.70 kJ/mol of atoms
ΔE to the lowest computed polymorph   0.0000 eV per atom
Uncorrected energy   -50.9 eV per formula unit
Space-group type   R-3 (148)


Density functional theory data (PBE) for crystalline AcPm5Te4 at its relaxed geometry.

Structure (POSCAR):
```
AcPm5Te4
1.0
9.391 0.000 0.000
0.000 10.247 0.000
0.000 0.000 7.812
Ac Pm Te
2 10 8
Cartesian
2.348 2.562 1.167
7.043 7.685 6.645
0.457 0.564 5.943
0.457 4.560 5.943
2.348 7.685 6.034
4.239 0.564 5.943
4.239 4.560 5.943
5.152 5.688 1.870
5.152 9.683 1.870
7.043 2.562 1.778
8.934 5.688 1.870
8.934 9.683 1.870
0.115 2.562 3.553
2.348 5.663 0.492
2.348 9.708 0.492
4.580 2.562 3.553
4.811 7.685 4.259
7.043 0.539 7.320
7.043 4.584 7.320
9.276 7.685 4.259
```

V   751.8 Å³/cell
Crystal system   orthorhombic
DOS(E_F)   21.334 states/eV/cell
Formation energy (no corrections)   -80.26 kJ/mol of atoms
Uncorrected energy   -48.7 eV per formula unit
Space-group type   Pmmn (59)